Record 1
## Pm2PrSm3Dy6 (GGA-PBE)

Data for a geometry-optimized Pm2PrSm3Dy6 structure.

Values from the calculation:
- Calculated formation energy: 1.26 kJ per mole of atoms

Cell lengths 6.239, 10.804, 11.852 Å; angles 90.00, 100.07, 90.00 degrees
Space group C2/m (No. 12)
Asymmetric unit:
Pm 0.000 0.167 0.000 (multiplicity 4)
Pr 0.000 0.500 0.000 (multiplicity 2)
Sm 0.000 0.000 0.500 (multiplicity 2)
Sm 0.000 0.333 0.500 (multiplicity 4)
Dy 0.249 0.167 0.749 (multiplicity 8)
Dy 0.250 0.000 0.251 (multiplicity 4)

=====

Record 2
## Pm2Pr6SmDy (GGA-PBE)

Data for a geometry-optimized Pm2Pr6SmDy structure.

Values from the calculation:
- Calculated formation energy: 10.75 kJ per mole of atoms

Cell lengths 9.326, 15.496, 9.909 Å; angles 90.00, 98.45, 90.00 degrees
Space group C2/c (No. 15)
Asymmetric unit:
Pm 0.246 0.049 0.044 (multiplicity 8)
Pr 0.065 0.182 0.446 (multiplicity 8)
Pr 0.100 0.395 0.619 (multiplicity 8)
Pr 0.209 0.221 0.811 (multiplicity 8)
Sm 0.000 0.022 0.750 (multiplicity 4)
Dy 0.000 0.409 0.250 (multiplicity 4)

=====

Record 3
## PmPr2SmDy5 (GGA-PBE)

Data for a geometry-optimized PmPr2SmDy5 structure.

Values from the calculation:
- Calculated formation energy: 24.55 kJ per mole of atoms

Cell lengths 8.712, 8.712, 15.764 Å; angles 90.00, 90.00, 90.00 degrees
Space group I4/mcm (No. 140)
Asymmetric unit:
Pm 0.000 0.000 0.250 (multiplicity 4)
Pr 0.119 0.381 0.000 (multiplicity 8)
Sm 0.000 0.500 0.250 (multiplicity 4)
Dy 0.000 0.000 0.000 (multiplicity 4)
Dy 0.210 0.290 0.361 (multiplicity 16)

=====

Record 4
## PmPrSm2Dy4 (GGA-PBE)

Data for a geometry-optimized PmPrSm2Dy4 structure.

Values from the calculation:
- Calculated formation energy: 39.55 kJ per mole of atoms

Cell lengths 6.849, 11.890, 13.314 Å; angles 90.00, 90.00, 90.00 degrees
Space group Imma (No. 74)
Asymmetric unit:
Pm 0.250 0.250 0.250 (multiplicity 4)
Pr 0.000 0.000 0.000 (multiplicity 4)
Sm 0.000 0.000 0.500 (multiplicity 4)
Sm 0.250 0.250 0.750 (multiplicity 4)
Dy 0.000 0.000 0.251 (multiplicity 8)
Dy 0.249 0.250 0.501 (multiplicity 8)

=====

Record 5
## PmPr6Sm2Dy3 (GGA-PBE)

Data for a geometry-optimized PmPr6Sm2Dy3 structure.

Values from the calculation:
- Calculated formation energy: 1.17 kJ per mole of atoms

Cell lengths 6.344, 10.991, 12.014 Å; angles 90.00, 100.12, 90.00 degrees
Space group C2/m (No. 12)
Asymmetric unit:
Pm 0.000 0.000 0.000 (multiplicity 2)
Pr 0.249 0.000 0.747 (multiplicity 4)
Pr 0.249 0.333 0.747 (multiplicity 8)
Sm 0.000 0.333 0.000 (multiplicity 4)
Dy 0.000 0.167 0.500 (multiplicity 4)
Dy 0.000 0.500 0.500 (multiplicity 2)

=====

Record 6
## PmPr2Sm2Dy4 (GGA-PBE)

Data for a geometry-optimized PmPr2Sm2Dy4 structure.

Values from the calculation:
- Calculated formation energy: 0.10 kJ per mole of atoms

Cell lengths 18.905, 3.645, 9.680 Å; angles 90.00, 115.73, 90.00 degrees
Space group C2/m (No. 12)
Asymmetric unit:
Pm 0.000 0.000 0.000 (multiplicity 2)
Pr 0.166 0.500 0.001 (multiplicity 4)
Sm 0.147 0.000 0.662 (multiplicity 4)
Dy 0.020 0.500 0.334 (multiplicity 4)
Dy 0.185 0.000 0.337 (multiplicity 4)

=====

Record 7
## PmPr2Sm6Dy (GGA-PBE)

Data for a geometry-optimized PmPr2Sm6Dy structure.

Values from the calculation:
- Calculated formation energy: 11.37 kJ per mole of atoms

Cell lengths 9.160, 15.305, 9.955 Å; angles 90.00, 99.43, 90.00 degrees
Space group C2/c (No. 15)
Asymmetric unit:
Pm 0.000 0.094 0.250 (multiplicity 4)
Pr 0.240 0.449 0.041 (multiplicity 8)
Sm 0.066 0.311 0.443 (multiplicity 8)
Sm 0.104 0.103 0.621 (multiplicity 8)
Sm 0.199 0.278 0.812 (multiplicity 8)
Dy 0.000 0.484 0.750 (multiplicity 4)

=====

Record 8
## PmPr3SmDy (GGA-PBE)

Data for a geometry-optimized PmPr3SmDy structure.

Values from the calculation:
- Calculated formation energy: 15.81 kJ per mole of atoms

Cell lengths 20.784, 5.888, 6.864 Å; angles 90.00, 90.93, 90.00 degrees
Space group C2/m (No. 12)
Asymmetric unit:
Pm 0.148 0.000 0.027 (multiplicity 4)
Pr 0.017 0.000 0.753 (multiplicity 4)
Pr 0.161 0.500 0.758 (multiplicity 4)
Pr 0.219 0.500 0.269 (multiplicity 4)
Sm 0.058 0.500 0.258 (multiplicity 4)
Dy 0.142 0.000 0.481 (multiplicity 4)